[1]
This record from Alexandria via LeMat-Bulk describes a relaxed Sr2LiAl12Pd3 crystal. The functional is PBE-GGA.

It has space group R-3m (No. 166, hexagonal axes), with a = 9.1858 Å, b = 9.1858 Å, c = 18.1591 Å, α = 90.00°, β = 90.00° and γ = 120.00°. Symmetry generates all atoms from Sr at (0.0000, 0.0000, 0.1053), Li at (0.0000, 0.0000, 0.5000), Al at (0.0180, 0.5090, 0.1362), Al at (0.0888, 0.5444, 0.2889) and Pd at (0.0000, 0.5000, 0.0000).

[2]
This record from Alexandria via LeMat-Bulk describes a relaxed AcPb2 crystal. The functional is PBE-GGA.

The relative energy among the computed polymorphs is 0.135 eV/atom.

It has space group Pmmm (No. 47), with a = 3.821 Å, b = 4.676 Å, c = 11.468 Å, α = 90.00°, β = 90.00° and γ = 90.00°. Symmetry generates all atoms from Ac at (0.000, 0.000, 0.179), Pb at (0.000, 0.000, 0.500), Pb at (0.500, 0.500, 0.000) and Pb at (0.500, 0.500, 0.353).

[3]
This record from Alexandria via LeMat-Bulk describes a relaxed ZrZn3Pt4 crystal. The functional is PBE-GGA.

It has space group Pmma (No. 51), with a = 9.232 Å, b = 5.762 Å, c = 4.736 Å, α = 90.00°, β = 90.00° and γ = 90.00°. Symmetry generates all atoms from Zr at (0.000, 0.000, 0.000), Zn at (0.000, 0.500, 0.000), Zn at (0.250, 0.000, 0.417), Zn at (0.250, 0.500, 0.399), Pt at (0.000, 0.259, 0.500) and Pt at (0.250, 0.260, 0.900).

[4]
This record from Alexandria via LeMat-Bulk describes a relaxed PrEr2Zn2 crystal. The functional is PBE-GGA.

The relative energy among the computed polymorphs is 0.094 eV/atom.

It has space group P2_1/m (No. 11), with a = 4.904 Å, b = 4.628 Å, c = 11.779 Å, α = 90.00°, β = 97.37° and γ = 90.00°. Symmetry generates all atoms from Pr at (0.183, 0.250, 0.260), Er at (0.248, 0.750, 0.494), Er at (0.368, 0.250, 0.882), Zn at (0.099, 0.750, 0.987) and Zn at (0.295, 0.250, 0.644).

Looking at formation energy from the elements for the records above, in order, we have -0.05 -0.32 -0.71 -0.15 eV per atom.